MnAlW2 after structural relaxation. Source: Alexandria, functional PBE.

Summary:
- Energy relative to the elements: 0.15 eV/atom
- VASP energy: -76.4 eV per cell

Cell: 9.091 2.682 4.932 Å, 90.00 96.06 90.00°
Space group Cm (No. 8)
Inequivalent atoms, fractional coordinates:
Mn: 0.000 0.000 0.000
Al: 0.256 0.000 0.770
W: 0.006 0.500 0.515
W: 0.247 0.500 0.259